Density functional theory data (PBE) for crystalline CoHOsRu2 at its relaxed geometry.

crystal system: tetragonal
total DFT energy (no corrections): -39.326 eV/cell

a b c (Å): 3.839 3.839 3.731
angles (deg): 90.00 90.00 90.00
Fractional coordinates of all 5 atoms:
Ru (0.000, 0.500, 0.000)
Ru (0.500, 0.000, 0.000)
Os (0.500, 0.500, 0.500)
H (0.000, 0.000, 0.000)
Co (0.000, 0.000, 0.500)